Crystalline KHf2Re at its relaxed geometry, computed with PBE-GGA.

```
8
Lattice="6.649 0.000 0.000 0.000 6.649 0.000 3.324 3.324 7.375" Properties=species:S:1:pos:R:3 pbc="T T T"
Re 0.000 0.000 0.000
Re 6.649 3.324 3.688
K 3.324 3.324 0.000
K 3.324 6.649 3.688
Hf 6.641 1.662 1.844
Hf 6.657 4.987 1.844
Hf 4.987 3.332 5.531
Hf 8.311 3.317 5.531
```

Properties
Polymorph energy (0 for the lowest one) = 0.524 eV/atom
Energy = -7.01 eV per atom